TbTmGa | PBE | optimized geometry

As for the energy above the lowest structure with this stoichiometry: 0.05 eV/f.u. As for the symmetry: I4mm (107). Its theoretical density is 8.5 g/cm³. The value obtained for the formation energy is -1.1 eV per formula unit.

a = 6.9369 Å, b = 6.9369 Å, c = 6.9369 Å
α = 151.19°, β = 151.19°, γ = 41.20°
Positions (direct):
1 Tb 0.0000 0.0000 0.0000
2 Tm 0.2922 0.2922 0.0000
3 Ga 0.6494 0.6494 0.0000